The following is a PBE-GGA calculation of crystalline Ac2SnP3Rh12 at its relaxed geometry, from Alexandria.

a = 7.5467 Å, b = 7.5467 Å, c = 7.5467 Å
α = 66.11°, β = 66.11°, γ = 66.11°
Last column: nearest neighbours and their distance in Å.
Fractional positions:
Rh (0.1339, 0.1339, 0.6144)  1 P 2.24
Rh (0.6654, 0.0913, 0.6654)  2 P 2.27
Rh (0.6144, 0.1339, 0.1339)  1 P 2.24
Rh (0.3856, 0.8661, 0.8661)  1 P 2.24
Rh (0.0913, 0.6654, 0.6654)  2 P 2.27
Rh (0.1339, 0.6144, 0.1339)  1 P 2.24
Sn (0.0000, 0.0000, 0.0000)  6 Rh 2.56
Rh (0.8661, 0.3856, 0.8661)  1 P 2.24
Rh (0.3346, 0.9087, 0.3346)  2 P 2.27
Ac (0.6053, 0.6053, 0.6053)  6 Rh 2.89-3.06
P (0.5000, 0.0000, 0.0000)  6 Rh 2.24-2.27
Rh (0.9087, 0.3346, 0.3346)  2 P 2.27
Rh (0.3346, 0.3346, 0.9087)  2 P 2.27
Ac (0.3947, 0.3947, 0.3947)  6 Rh 2.89-3.06
P (0.0000, 0.0000, 0.5000)  6 Rh 2.24-2.27
P (0.0000, 0.5000, 0.0000)  6 Rh 2.24-2.27
Rh (0.6654, 0.6654, 0.0913)  2 P 2.27
Rh (0.8661, 0.8661, 0.3856)  1 P 2.24

Computed properties:
SG = R-3m, No. 166
Formation energy from the elements = -0.2668 eV/atom